1.
Computed, not measured: crystalline Li2ErAlSn2 at its relaxed geometry at the PBE level of DFT. Values from VASP.

Calculated values
The energy of formation comes out at -423 meV/atom. For the total energy, the calculation gives -0.1389 hartree per atom. Its density of states at the Fermi level is 1.95 states/eV/cell. The space-group type is Pmc2_1. Its crystal system is orthorhombic.

```
&SYSTEM
  ibrav = 0, nat = 12, ntyp = 4
/
ATOMIC_SPECIES
Li 6.94 Li.upf
Sn 118.71 Sn.upf
Al 26.98 Al.upf
Er 167.26 Er.upf
ATOMIC_POSITIONS angstrom
Li -0.619 0.097 2.230
Li -2.442 -1.637 0.051
Li -5.691 -7.345 1.436
Li -3.787 -6.973 4.141
Sn -5.239 -1.843 -0.512
Sn -1.353 -6.941 2.278
Sn -5.647 -5.036 2.993
Sn -2.224 -2.286 2.752
Al -1.299 -4.725 3.873
Al -5.022 -2.397 2.153
Er -3.205 -4.790 1.052
Er -6.811 -4.435 0.094
CELL_PARAMETERS angstrom
-0.925 1.507 4.043
-7.116 -0.917 -1.287
0.464 -7.874 3.042
```

=====

2.
Computed, not measured: crystalline SrLiErAl at its relaxed geometry at the PBE level of DFT. Values from VASP.

Calculated values
The energy of formation comes out at -48 meV/atom. For the total energy, the calculation gives -0.1111 hartree per atom. Its density of states at the Fermi level is 3.51 states/eV/cell. The space-group type is F-43m. Its crystal system is cubic.

```
&SYSTEM
  ibrav = 0, nat = 4, ntyp = 4
/
ATOMIC_SPECIES
Sr 87.62 Sr.upf
Al 26.98 Al.upf
Er 167.26 Er.upf
Li 6.94 Li.upf
ATOMIC_POSITIONS angstrom
Sr 0.000 0.000 0.000
Al -2.923 -3.257 -8.877
Er -1.949 -2.171 -5.918
Li -0.974 -1.086 -2.959
CELL_PARAMETERS angstrom
-1.117 1.448 -5.068
1.179 -3.323 -4.073
-3.959 -2.467 -2.696
```

=====

3.
Computed, not measured: crystalline LiTbErAl at its relaxed geometry at the PBE level of DFT. Values from VASP.

Calculated values
The energy of formation comes out at -210 meV/atom. For the total energy, the calculation gives -0.1441 hartree per atom. Its density of states at the Fermi level is 3.72 states/eV/cell. The space-group type is F-43m. Its crystal system is cubic.

```
&SYSTEM
  ibrav = 0, nat = 4, ntyp = 4
/
ATOMIC_SPECIES
Li 6.94 Li.upf
Al 26.98 Al.upf
Er 167.26 Er.upf
Tb 158.93 Tb.upf
ATOMIC_POSITIONS angstrom
Li -8.726 1.861 -3.091
Al -2.909 0.620 -1.030
Er -5.817 1.241 -2.060
Tb 0.000 0.000 0.000
CELL_PARAMETERS angstrom
-3.281 -0.589 -3.912
-5.011 -0.666 0.927
-3.342 3.736 -1.136
```

=====

4.
Computed, not measured: crystalline LiErAlTc at its relaxed geometry at the PBE level of DFT. Values from VASP.

Calculated values
The energy of formation comes out at -101 meV/atom. For the total energy, the calculation gives -0.1928 hartree per atom. Its density of states at the Fermi level is 1.39 states/eV/cell. The space-group type is F-43m. Its crystal system is cubic.

```
&SYSTEM
  ibrav = 0, nat = 4, ntyp = 4
/
ATOMIC_SPECIES
Li 6.94 Li.upf
Er 167.26 Er.upf
Al 26.98 Al.upf
Tc 98.00 Tc.upf
ATOMIC_POSITIONS angstrom
Li 0.000 0.000 0.000
Er 1.252 0.121 2.528
Al 3.757 0.364 7.584
Tc 2.505 0.243 5.056
CELL_PARAMETERS angstrom
-0.702 -0.075 4.557
3.084 -2.014 2.775
2.628 2.575 2.780
```

=====

5.
Computed, not measured: crystalline LiErThAl at its relaxed geometry at the PBE level of DFT. Values from VASP.

Calculated values
The energy of formation comes out at -124 meV/atom. For the total energy, the calculation gives -0.1666 hartree per atom. Its density of states at the Fermi level is 2.78 states/eV/cell. The space-group type is F-43m. Its crystal system is cubic.

```
&SYSTEM
  ibrav = 0, nat = 4, ntyp = 4
/
ATOMIC_SPECIES
Th 232.04 Th.upf
Al 26.98 Al.upf
Li 6.94 Li.upf
Er 167.26 Er.upf
ATOMIC_POSITIONS angstrom
Th -3.633 -0.490 8.763
Al -2.422 -0.327 5.842
Li 0.000 0.000 0.000
Er -1.211 -0.163 2.921
CELL_PARAMETERS angstrom
-2.668 2.562 3.614
-3.296 -2.542 3.068
1.120 -0.673 5.003
```

=====

6.
Computed, not measured: crystalline LiErTiAl at its relaxed geometry at the PBE level of DFT. Values from VASP.

Calculated values
The energy of formation comes out at -44 meV/atom. For the total energy, the calculation gives -0.1680 hartree per atom. Its density of states at the Fermi level is 3.16 states/eV/cell. The space-group type is F-43m. Its crystal system is cubic.

```
&SYSTEM
  ibrav = 0, nat = 4, ntyp = 4
/
ATOMIC_SPECIES
Ti 47.87 Ti.upf
Al 26.98 Al.upf
Er 167.26 Er.upf
Li 6.94 Li.upf
ATOMIC_POSITIONS angstrom
Ti 4.800 2.771 1.960
Al 2.400 1.386 0.980
Er 0.000 0.000 0.000
Li 7.200 4.157 2.939
CELL_PARAMETERS angstrom
4.800 0.000 0.000
2.400 4.157 0.000
2.400 1.386 3.919
```